Record 1
Compound: PmPuHf
Source: Alexandria
Functional: PBE
Structure: optimized geometry

Unit cell a=7.674 b=7.674 c=7.674 alpha=154.99 beta=154.99 gamma=35.66
Element x y z (fractional)
Pm (0.000, 0.000, 0.000)
Pu (0.318, 0.318, 0.000)
Hf (0.669, 0.669, 0.000)

The energy comes out at -9.48 eV per atom. The value obtained for the formation energy is 198 meV/atom. The crystal system is tetragonal.

Record 2
Compound: PmPuHf
Source: Alexandria
Functional: PBE
Structure: optimized geometry

Unit cell a=15.446 b=15.446 c=15.446 alpha=167.83 beta=167.83 gamma=17.25
Element x y z (fractional)
Pm (0.057, 0.057, 0.000)
Pm (0.943, 0.943, 0.000)
Pu (0.359, 0.359, 0.000)
Pu (0.641, 0.641, 0.000)
Hf (0.216, 0.216, 0.000)
Hf (0.784, 0.784, 0.000)

The energy comes out at -9.46 eV per atom. The value obtained for the formation energy is 217 meV/atom. The crystal system is tetragonal.

Record 3
Compound: PmPuHf2
Source: Alexandria
Functional: PBE
Structure: optimized geometry

Unit cell a=11.594 b=11.594 c=11.594 alpha=16.00 beta=16.00 gamma=16.00
Element x y z (fractional)
Pm (0.000, 0.000, 0.000)
Pu (0.500, 0.500, 0.500)
Hf (0.093, 0.093, 0.093)
Hf (0.907, 0.907, 0.907)

The energy comes out at -9.40 eV per atom. The value obtained for the formation energy is 350 meV/atom. The crystal system is trigonal.

Number 1: offset from the most stable computed form 0.00 eV per formula unit. Number 2: offset from the most stable computed form 0.05 eV per formula unit. Number 3: offset from the most stable computed form 0.60 eV per formula unit.